Computed, not measured: NbAl2I after structural relaxation at the PBE level of DFT.

Summary:
VASP energy: -4.11 eV per atom
Relative energy among the computed polymorphs: 0.00 eV per formula unit

Geometry as extended XYZ:
```
8
Lattice="7.8333 0.0000 0.0000 0.0000 7.8333 0.0000 3.9167 3.9167 2.8780" Properties=species:S:1:pos:R:3 pbc="T T T"
Al 2.1531 5.8750 0.7195
Al 5.8750 6.0698 2.1585
Al 5.6803 1.9583 0.7195
Al 9.7917 9.5969 2.1585
Nb 3.9167 3.9167 0.0000
Nb 3.9167 7.8333 1.4390
I 7.8333 3.9167 1.4390
I 0.0000 0.0000 0.0000
```

***

Computed, not measured: HfMgCu2I after structural relaxation at the PBE level of DFT.

Summary:
VASP energy: -3.28 eV per atom

Geometry as extended XYZ:
```
5
Lattice="4.6558 0.0000 0.0000 0.0000 5.4822 0.0000 0.0000 0.0000 4.6558" Properties=species:S:1:pos:R:3 pbc="T T T"
Mg 0.0000 0.0000 0.0000
Hf 0.0000 2.7411 0.0000
Cu 2.3279 0.0000 0.0000
Cu 0.0000 0.0000 2.3279
I 2.3279 2.7411 2.3279
```